(1)
A relaxed structure of UTaRh6. Source: the Alexandria database, functional PBE-GGA.

DFT formation energy   -59.7 kJ/mol of atoms
Symmetry   No. 123

abc: 3.9620 3.9620 7.9088
angles: 90.00 90.00 90.00
With the nearest neighbours (Å) after each atom.
Fractional positions:
Rh: 0.5000 0.0000 0.7440  2 Ta 2.77, 8 Rh 2.77-2.83, 2 U 2.83
Rh: 0.0000 0.5000 0.2560  8 Rh 2.77-2.83, 2 Ta 2.77, 2 U 2.83
Rh: 0.0000 0.5000 0.7440  8 Rh 2.77-2.83, 2 Ta 2.77, 2 U 2.83
Rh: 0.5000 0.5000 0.5000  8 Rh 2.77, 4 Ta 2.80
Rh: 0.5000 0.5000 0.0000  4 U 2.80, 8 Rh 2.83
Rh: 0.5000 0.0000 0.2560  2 Ta 2.77, 8 Rh 2.77-2.83, 2 U 2.83
Ta: 0.0000 0.0000 0.5000  12 Rh 2.77-2.80
U: 0.0000 0.0000 0.0000  12 Rh 2.80-2.83

***

(2)
A relaxed structure of RbGeBr6. Source: the Alexandria database, functional PBE-GGA.

E_form (uncorrected)   -0.620 eV per atom
Symmetry   No. 12

abc: 8.2270 12.2423 7.1867
angles: 31.60 59.00 52.79
With the nearest neighbours (Å) after each atom.
Fractional positions:
Ge: 0.5000 0.5000 0.0000  6 Br 2.49-2.50
Br: 0.7089 0.5850 0.0000  1 Ge 2.49
Br: 0.2911 0.4150 0.0000  1 Ge 2.49
Br: 0.2733 0.4339 0.4720  1 Ge 2.50
Br: 0.7267 0.5661 0.5280  1 Ge 2.50
Br: 0.7267 0.0941 0.4720  1 Ge 2.50
Br: 0.2733 0.9059 0.5280  1 Ge 2.50
Rb: 0.0000 0.0000 0.0000  4 Br 3.68

***

(3)
A relaxed structure of Pm2YSe3. Source: the Alexandria database, functional PBE-GGA.

Offset from the most stable computed form   0.000 eV/atom
E_form (uncorrected)   -1.810 eV per atom
Symmetry   No. 71

abc: 4.1672 5.8743 7.2055
angles: 114.06 106.81 90.00
With the nearest neighbours (Å) after each atom.
Fractional positions:
Se: 0.5000 0.0000 0.5000  2 Y 2.94, 4 Pm 2.98
Se: 0.8398 0.3398 0.1796  2 Y 2.89, 4 Pm 2.94-2.96
Se: 0.1602 0.6602 0.8204  2 Y 2.89, 4 Pm 2.94-2.96
Pm: 0.1708 0.1708 0.8416  6 Se 2.94-2.98
Pm: 0.8292 0.8292 0.1584  6 Se 2.94-2.98
Y: 0.5000 0.5000 0.5000  6 Se 2.89-2.94

***

(4)
A relaxed structure of Rb3SrZr. Source: the Alexandria database, functional PBE-GGA.

Offset from the most stable computed form   0.000 eV/atom
DFT formation energy   98.9 kJ/mol of atoms
Symmetry   No. 221

abc: 7.1025 7.1025 7.1025
angles: 90.00 90.00 90.00
With the nearest neighbours (Å) after each atom.
Fractional positions:
Sr: 0.5000 0.5000 0.5000  12 Rb 5.02
Rb: 0.0000 0.0000 0.5000  2 Zr 3.55
Rb: 0.5000 0.0000 0.0000  2 Zr 3.55
Rb: 0.0000 0.5000 0.0000  2 Zr 3.55
Zr: 0.0000 0.0000 0.0000  6 Rb 3.55